Compound: Rb2CdP2Se6
Source: the Open Quantum Materials Database
Functional: PBE-GGA
Structure: relaxed

Output
Energy, eV per atom: -3.750

Cell: 6.738 12.819 9.650 Å, 90.00 125.71 90.00°
Space group P2_1/c (No. 14)
Asymmetric unit:
Rb: 0.222 0.179 0.479
Cd: 0.500 0.000 0.000
P: 0.149 0.541 0.624
Se: 0.029 0.074 0.748
Se: 0.259 0.680 0.549
Se: 0.456 0.070 0.264


Compound: CdPS3
Source: the Open Quantum Materials Database
Functional: PBE-GGA
Structure: relaxed

Output
Energy, eV per atom: -4.142

Cell: 6.263 10.840 6.970 Å, 90.00 107.28 90.00°
Space group C2/m (No. 12)
Asymmetric unit:
Cd: 0.000 0.168 0.000
P: 0.055 0.500 0.169
S: 0.230 0.500 0.747
S: 0.240 0.344 0.258


Compound: CdPS3
Source: the Open Quantum Materials Database
Functional: PBE-GGA
Structure: relaxed

Output
Energy, eV per atom: -4.148

Cell: 6.2817 6.2817 20.7043 Å, 90.00 90.00 120.00°
Space group R-3 (No. 148, hexagonal axes)
Asymmetric unit:
Cd: 0.0000 0.0000 0.1690
P: 0.0000 0.0000 0.4456
S: 0.0050 0.3136 0.5822


Compound: Cd2PSe
Source: the Open Quantum Materials Database
Functional: PBE-GGA
Structure: relaxed

Output
Energy, eV per atom: -2.750

Cell: 4.0111 4.0111 7.0553 Å, 90.00 90.00 120.00°
Space group P3m1 (No. 156)
Asymmetric unit:
Cd: 0.0000 0.0000 0.0000
Cd: 0.3333 0.6667 0.4829
P: 0.0000 0.0000 0.6475
Se: 0.6667 0.3333 0.2017